# 1
Density functional theory data (PBE+U) for crystalline FeSi2F at its relaxed geometry.

a = 4.2103 Å, b = 4.2103 Å, c = 4.2103 Å
α = 60.00°, β = 60.00°, γ = 60.00°
Closest atoms and distances in Å follow each position.
Fractional coordinates of all 4 atoms:
Si (0.2500, 0.2500, 0.2500)  4 F 2.58, 4 Fe 2.58
Si (0.7500, 0.7500, 0.7500)  4 Fe 2.58, 4 F 2.58
Fe (0.5000, 0.5000, 0.5000)  8 Si 2.58
F (0.0000, 0.0000, 0.0000)  8 Si 2.58

Output
Mass density (g cm⁻³): 4.1
Electronic total energy (eV per atom): -4.448
Fermi-level density of states (states/eV/atom): 0.65

# 2
Density functional theory data (PBE+U) for crystalline FeSiF at its relaxed geometry.

a = 8.9402 Å, b = 2.9146 Å, c = 8.6379 Å
α = 90.00°, β = 118.10°, γ = 90.00°
Closest atoms and distances in Å follow each position.
Fractional coordinates of all 12 atoms:
Si (0.6809, 0.0000, 0.0258)  1 F 1.63
Si (0.3191, 0.0000, 0.9742)  1 F 1.63
Si (0.6809, 0.5000, 0.5258)  1 F 1.63
Si (0.3191, 0.5000, 0.4742)  1 F 1.63
Fe (0.5794, 0.0000, 0.6930)  5 Si 2.50-2.64, 2 Fe 2.53
Fe (0.4206, 0.0000, 0.3070)  5 Si 2.50-2.64, 2 Fe 2.53
Fe (0.5794, 0.5000, 0.1930)  5 Si 2.50-2.64, 2 Fe 2.53
Fe (0.4206, 0.5000, 0.8070)  5 Si 2.50-2.64, 2 Fe 2.53
F (0.8809, 0.0000, 0.0750)  1 Si 1.63
F (0.1191, 0.0000, 0.9250)  1 Si 1.63
F (0.8809, 0.5000, 0.5750)  1 Si 1.63
F (0.1191, 0.5000, 0.4250)  1 Si 1.63

Output
Mass density (g cm⁻³): 3.4
Electronic total energy (eV per atom): -5.019
Fermi-level density of states (states/eV/atom): 0.09
Offset from the most stable computed form (eV/atom): 0.076

# 3
Density functional theory data (PBE+U) for crystalline Fe2SiF at its relaxed geometry.

a = 4.2673 Å, b = 4.2673 Å, c = 4.2673 Å
α = 60.00°, β = 60.00°, γ = 60.00°
Closest atoms and distances in Å follow each position.
Fractional coordinates of all 4 atoms:
Si (0.5000, 0.5000, 0.5000)  8 Fe 2.61
Fe (0.2500, 0.2500, 0.2500)  4 F 2.61, 4 Si 2.61
Fe (0.7500, 0.7500, 0.7500)  4 Si 2.61, 4 F 2.61
F (0.0000, 0.0000, 0.0000)  8 Fe 2.61

Output
Mass density (g cm⁻³): 4.8
Electronic total energy (eV per atom): -4.542
Fermi-level density of states (states/eV/atom): 0.52
Offset from the most stable computed form (eV/atom): 0.267